## Zn3Pt (meta-GGA SCAN)

Data for Zn3Pt at its PBEsol-relaxed geometry.

Lattice parameters (Å, degrees): 3.7166 3.7166 4.7656 112.95 112.95 90.00
Last column: nearest neighbours and their distance in Å.
Atoms (fractional coordinates):
1 Zn 0.2500 0.7500 0.5000  8 Zn 2.63-2.72, 4 Pt 2.72
2 Zn 0.7500 0.2500 0.5000  8 Zn 2.63-2.72, 4 Pt 2.72
3 Zn 0.5000 0.5000 0.0000  4 Pt 2.63, 8 Zn 2.72
4 Pt 0.0000 0.0000 0.0000  12 Zn 2.63-2.72

Properties
Spin magnetization, μB/f.u.: 0.0
Final energy, eV for the cell shown: -112.56
Volume, Å³/atom: 13.7
Formation energy, meV per atom: -454

## Zn12Pt7 (meta-GGA SCAN)

Data for Zn12Pt7 at its PBEsol-relaxed geometry.

Lattice parameters (Å, degrees): 2.7558 6.9159 28.7436 90.00 90.00 90.00
Last column: nearest neighbours and their distance in Å.
Atoms (fractional coordinates):
1 Zn 0.5000 0.7450 0.1012  4 Pt 2.60, 6 Zn 2.71-2.85
2 Zn 0.5000 0.1390 0.2160  5 Zn 2.59-2.76, 6 Pt 2.61-2.64
3 Zn 0.5000 0.2712 0.3008  5 Zn 2.59-2.82, 4 Pt 2.62-2.66
4 Zn 0.5000 0.8714 0.3567  5 Zn 2.63-2.85, 6 Pt 2.65-2.87
5 Zn 0.5000 0.7712 0.1992  5 Zn 2.59-2.82, 4 Pt 2.62-2.66
6 Zn 0.5000 0.8782 0.9286  6 Pt 2.61-2.72, 5 Zn 2.66-2.76
7 Zn 0.5000 0.7550 0.6012  4 Pt 2.60, 6 Zn 2.71-2.85
8 Zn 0.5000 0.6218 0.4286  6 Pt 2.61-2.72, 5 Zn 2.66-2.76
9 Zn 0.5000 0.6390 0.2840  5 Zn 2.59-2.76, 6 Pt 2.61-2.64
10 Zn 0.5000 0.1218 0.0714  6 Pt 2.61-2.72, 5 Zn 2.66-2.76
11 Zn 0.5000 0.6828 0.0083  5 Zn 2.57-2.76, 6 Pt 2.60-2.75
12 Zn 0.5000 0.2550 0.8988  4 Pt 2.60, 6 Zn 2.71-2.85
13 Zn 0.5000 0.6286 0.8567  5 Zn 2.63-2.85, 6 Pt 2.65-2.87
14 Zn 0.5000 0.3714 0.1433  5 Zn 2.63-2.85, 6 Pt 2.65-2.87
15 Zn 0.5000 0.3172 0.9917  5 Zn 2.57-2.76, 6 Pt 2.60-2.75
16 Zn 0.5000 0.1286 0.6433  5 Zn 2.63-2.85, 6 Pt 2.65-2.87
17 Zn 0.5000 0.3610 0.7160  5 Zn 2.59-2.76, 6 Pt 2.61-2.64
18 Zn 0.5000 0.8610 0.7840  5 Zn 2.59-2.76, 6 Pt 2.61-2.64
19 Zn 0.5000 0.8172 0.5083  5 Zn 2.57-2.76, 6 Pt 2.60-2.75
20 Zn 0.5000 0.7288 0.6992  5 Zn 2.59-2.82, 4 Pt 2.62-2.66
21 Zn 0.5000 0.2450 0.3988  4 Pt 2.60, 6 Zn 2.71-2.85
22 Zn 0.5000 0.3782 0.5714  6 Pt 2.61-2.72, 5 Zn 2.66-2.76
23 Zn 0.5000 0.1828 0.4917  5 Zn 2.57-2.76, 6 Pt 2.60-2.75
24 Zn 0.5000 0.2288 0.8008  5 Zn 2.59-2.82, 4 Pt 2.62-2.66
25 Pt 0.0000 0.5400 0.7807  8 Zn 2.61-2.65, 2 Pt 2.76
26 Pt 0.0000 0.4601 0.0672  10 Zn 2.60-2.75, 2 Pt 2.76
27 Pt 0.0000 0.9601 0.4328  10 Zn 2.60-2.75, 2 Pt 2.76
28 Pt 0.0000 0.0000 0.0000  8 Zn 2.60-2.61, 2 Pt 2.76
29 Pt 0.0000 0.5399 0.9328  10 Zn 2.60-2.75, 2 Pt 2.76
30 Pt 0.0000 0.9600 0.2807  8 Zn 2.61-2.65, 2 Pt 2.76
31 Pt 0.0000 0.9919 0.8557  10 Zn 2.60-2.87, 2 Pt 2.76
32 Pt 0.0000 0.5000 0.5000  8 Zn 2.60-2.61, 2 Pt 2.76
33 Pt 0.0000 0.4919 0.6443  10 Zn 2.60-2.87, 2 Pt 2.76
34 Pt 0.0000 0.0399 0.5672  10 Zn 2.60-2.75, 2 Pt 2.76
35 Pt 0.0000 0.5081 0.3557  10 Zn 2.60-2.87, 2 Pt 2.76
36 Pt 0.0000 0.4600 0.2193  8 Zn 2.61-2.65, 2 Pt 2.76
37 Pt 0.0000 0.0400 0.7193  8 Zn 2.61-2.65, 2 Pt 2.76
38 Pt 0.0000 0.0081 0.1443  10 Zn 2.60-2.87, 2 Pt 2.76

Properties
Spin magnetization, μB/f.u.: 0.0
Final energy, eV for the cell shown: -1327.93
Volume, Å³/atom: 14.4
Formation energy, meV per atom: -549